Entry a
BaScTe2 after structural relaxation. Source: the Alexandria database, functional GGA-PBE.

Values from the calculation:
Total magnetization, Bohr magnetons per cell: 3.998

Structure (POSCAR):
```
BaScTe2
1.0
7.939 0.000 0.000
0.000 7.939 0.000
0.000 0.000 7.939
Ba Sc Te
4 4 8
Direct
0.000 0.000 0.000 Ba
0.000 0.500 0.500 Ba
0.500 0.000 0.500 Ba
0.500 0.500 0.000 Ba
0.000 0.000 0.500 Sc
0.000 0.500 0.000 Sc
0.500 0.000 0.000 Sc
0.500 0.500 0.500 Sc
0.250 0.250 0.250 Te
0.250 0.250 0.750 Te
0.250 0.750 0.250 Te
0.250 0.750 0.750 Te
0.750 0.250 0.250 Te
0.750 0.250 0.750 Te
0.750 0.750 0.250 Te
0.750 0.750 0.750 Te
```

=====

Entry b
BaScTe2 after structural relaxation. Source: the Alexandria database, functional GGA-PBE.

Values from the calculation:
Total magnetization, Bohr magnetons per cell: 0.001

Structure (POSCAR):
```
BaScTe2
1.0
4.390 0.000 0.000
-2.195 3.802 0.000
0.000 0.000 23.920
Ba Sc Te
3 3 6
Direct
0.000 0.000 0.000 Ba
0.333 0.667 0.667 Ba
0.667 0.333 0.333 Ba
0.000 0.000 0.829 Sc
0.333 0.667 0.495 Sc
0.667 0.333 0.162 Sc
0.000 0.000 0.231 Te
0.000 0.000 0.430 Te
0.333 0.667 0.097 Te
0.333 0.667 0.898 Te
0.667 0.333 0.565 Te
0.667 0.333 0.764 Te
```

=====

Relative to the most stable one, in eV/atom, the structures come out at entry a 0.328; entry b 0.000.

=====

Entry a
UTi2Sn after structural relaxation. Source: the Alexandria database, functional GGA-PBE.

Values from the calculation:
Total magnetization, Bohr magnetons per cell: 10.133

Structure (POSCAR):
```
UTi2Sn
1.0
6.772 0.000 0.000
0.000 6.772 0.000
0.000 0.000 6.772
U Ti Sn
4 8 4
Direct
0.000 0.000 0.000 U
0.000 0.500 0.500 U
0.500 0.000 0.500 U
0.500 0.500 0.000 U
0.250 0.250 0.250 Ti
0.250 0.250 0.750 Ti
0.250 0.750 0.250 Ti
0.250 0.750 0.750 Ti
0.750 0.250 0.250 Ti
0.750 0.250 0.750 Ti
0.750 0.750 0.250 Ti
0.750 0.750 0.750 Ti
0.000 0.000 0.500 Sn
0.000 0.500 0.000 Sn
0.500 0.000 0.000 Sn
0.500 0.500 0.500 Sn
```

=====

Entry b
UTi2Sn after structural relaxation. Source: the Alexandria database, functional GGA-PBE.

Values from the calculation:
Total magnetization, Bohr magnetons per cell: 3.408

Structure (POSCAR):
```
UTi2Sn
1.0
3.081 0.000 0.000
-1.541 2.668 0.000
0.000 0.000 29.396
U Ti Sn
3 6 3
Direct
0.000 0.000 0.000 U
0.333 0.667 0.667 U
0.667 0.333 0.333 U
0.000 0.000 0.248 Ti
0.000 0.000 0.752 Ti
0.333 0.667 0.418 Ti
0.333 0.667 0.915 Ti
0.667 0.333 0.085 Ti
0.667 0.333 0.582 Ti
0.000 0.000 0.500 Sn
0.333 0.667 0.167 Sn
0.667 0.333 0.833 Sn
```

=====

Relative to the most stable one, in eV/atom, the structures come out at entry a 0.000; entry b 0.126.